1.
VASP calculation (PBE) on a geometry-optimized ZnGa structure.

Unit cell a=4.854 b=11.220 c=4.919 alpha=90.00 beta=90.00 gamma=90.00
Space group Pmmn (No. 59, origin choice 2)
Symmetry-distinct sites (fractional):
1 Zn 0.250 0.002 0.161 x4
2 Zn 0.250 0.128 0.674 x4
3 Ga 0.250 0.250 0.180 x2
4 Ga 0.250 0.616 0.661 x4
5 Ga 0.250 0.750 0.166 x2

Values from the calculation:
Calculated total energy (eV per atom): -2.084
V (A^3/atom): 16.75


2.
VASP calculation (PBE) on a geometry-optimized ZnGa structure.

Unit cell a=4.738 b=5.725 c=9.872 alpha=90.00 beta=90.00 gamma=90.00
Space group Pmmn (No. 59, origin choice 2)
Symmetry-distinct sites (fractional):
1 Zn 0.250 0.001 0.083 x4
2 Zn 0.250 0.250 0.325 x2
3 Zn 0.250 0.250 0.848 x2
4 Ga 0.250 0.001 0.584 x4
5 Ga 0.250 0.750 0.320 x2
6 Ga 0.250 0.750 0.841 x2

Values from the calculation:
Calculated total energy (eV per atom): -2.087
V (A^3/atom): 16.73


3.
VASP calculation (PBE) on a geometry-optimized Zn3Ga structure.

Unit cell a=5.582 b=9.711 c=4.674 alpha=90.00 beta=90.00 gamma=90.00
Space group Cmcm (No. 63)
Symmetry-distinct sites (fractional):
1 Zn 0.000 0.083 0.250 x4
2 Zn 0.248 0.167 0.750 x8
3 Ga 0.000 0.416 0.750 x4

Values from the calculation:
Calculated total energy (eV per atom): -1.651
V (A^3/atom): 15.84